# 1
# H8IrPd2Pt (PBE, optimized geometry)
data_H8IrPd2Pt
_cell_length_a 4.1893
_cell_length_b 4.2487
_cell_length_c 5.5991
_cell_angle_alpha 79.35
_cell_angle_beta 80.69
_cell_angle_gamma 87.99
_space_group_name_H-M_alt 'P -1'
_space_group_IT_number 2
loop_
_space_group_symop_operation_xyz
'x,y,z'
'-x,-y,-z'
loop_
_atom_site_label
_atom_site_fract_x
_atom_site_fract_y
_atom_site_fract_z
H1 0.1895 0.1900 0.2000
H2 0.1968 0.1900 0.7077
H3 0.2857 0.6929 0.9650
H4 0.3041 0.6997 0.5309
Ir1 0.0000 0.0000 0.0000
Pd1 0.4646 0.5429 0.2469
Pt1 0.0000 0.0000 0.5000
# raw total energy	-51.4	eV/cell
# Fermi-level density of states	0.212	states/eV per atom
# total moment	0.0	μB/f.u.

***

# 2
# PuH6IrPd (PBE, optimized geometry)
data_PuH6IrPd
_cell_length_a 4.8022
_cell_length_b 4.8022
_cell_length_c 4.1677
_cell_angle_alpha 90.00
_cell_angle_beta 90.00
_cell_angle_gamma 120.00
_space_group_name_H-M_alt 'P -6 m 2'
_space_group_IT_number 187
_space_group_name_Hall 'P -6 2'
loop_
_atom_site_label
_atom_site_fract_x
_atom_site_fract_y
_atom_site_fract_z
Pu1 0.0000 0.0000 0.0000
H1 0.5123 0.0246 0.2234
Ir1 0.6667 0.3333 0.5000
Pd1 0.3333 0.6667 0.5000
# raw total energy	-50.0	eV/cell
# Fermi-level density of states	1.513	states/eV per atom
# total moment	5.0	μB/f.u.

***

# 3
# Pu2H6IrPd (PBE, optimized geometry)
data_Pu2H6IrPd
_cell_length_a 5.1195
_cell_length_b 5.1195
_cell_length_c 29.0236
_cell_angle_alpha 90.00
_cell_angle_beta 90.00
_cell_angle_gamma 120.00
_space_group_name_H-M_alt 'R -3 m'
_space_group_IT_number 166
_space_group_name_Hall '-R 3 2"'
loop_
_atom_site_label
_atom_site_fract_x
_atom_site_fract_y
_atom_site_fract_z
Pu1 0.0000 0.0000 0.1220
Pu2 0.0000 0.0000 0.2929
H1 0.0050 0.5025 0.8645
H2 0.0129 0.5065 0.7032
Ir1 0.0000 0.0000 0.0000
Ir2 0.0000 0.0000 0.5000
Pd1 0.0000 0.0000 0.4061
# raw total energy	-394.0	eV/cell
# Fermi-level density of states	2.259	states/eV per atom
# total moment	11.9	μB/f.u.

***

# 4
# RbH6IrPd (PBE, optimized geometry)
data_RbH6IrPd
_cell_length_a 4.9302
_cell_length_b 4.9302
_cell_length_c 5.5776
_cell_angle_alpha 90.00
_cell_angle_beta 90.00
_cell_angle_gamma 120.00
_space_group_name_H-M_alt 'P 3 1 2'
_space_group_IT_number 149
loop_
_space_group_symop_operation_xyz
'x,y,z'
'-y,x-y,z'
'-x+y,-x,z'
'-y,-x,-z'
'-x+y,y,-z'
'x,x-y,-z'
loop_
_atom_site_label
_atom_site_fract_x
_atom_site_fract_y
_atom_site_fract_z
Rb1 0.0000 0.0000 0.0000
H1 0.3404 0.0138 0.6165
Ir1 0.6667 0.3333 0.5000
Pd1 0.3333 0.6667 0.5000
# raw total energy	-35.7	eV/cell
# Fermi-level density of states	0.064	states/eV per atom
# total moment	0.0	μB/f.u.

***

# 5
# HIrPdRh2 (PBE, optimized geometry)
data_HIrPdRh2
_cell_length_a 3.9109
_cell_length_b 3.9109
_cell_length_c 3.9670
_cell_angle_alpha 90.00
_cell_angle_beta 90.00
_cell_angle_gamma 90.00
_space_group_name_H-M_alt 'P 4/m m m'
_space_group_IT_number 123
_space_group_name_Hall '-P 4 2'
loop_
_atom_site_label
_atom_site_fract_x
_atom_site_fract_y
_atom_site_fract_z
H1 0.0000 0.0000 0.0000
Ir1 0.5000 0.5000 0.5000
Pd1 0.0000 0.0000 0.5000
Rh1 0.0000 0.5000 0.0000
# excess energy over the best structure of this formula in the dataset	9	meV/atom
# Fermi-level density of states	1.599	states/eV per atom
# total moment	0.0	μB/f.u.

***

# 6
# HIrPdRh2 (PBE, optimized geometry)
data_HIrPdRh2
_cell_length_a 4.8447
_cell_length_b 4.8447
_cell_length_c 3.1589
_cell_angle_alpha 90.00
_cell_angle_beta 90.00
_cell_angle_gamma 90.00
_space_group_name_H-M_alt 'P 4/m m m'
_space_group_IT_number 123
_space_group_name_Hall '-P 4 2'
loop_
_atom_site_label
_atom_site_fract_x
_atom_site_fract_y
_atom_site_fract_z
H1 0.0000 0.0000 0.0000
Ir1 0.0000 0.0000 0.5000
Pd1 0.5000 0.5000 0.0000
Rh1 0.0000 0.5000 0.5000
# excess energy over the best structure of this formula in the dataset	669	meV/atom
# Fermi-level density of states	1.500	states/eV per atom
# total moment	0.0	μB/f.u.

***

# 7
# HIrPd2Rh (PBE, optimized geometry)
data_HIrPd2Rh
_cell_length_a 3.9895
_cell_length_b 3.9895
_cell_length_c 3.8956
_cell_angle_alpha 90.00
_cell_angle_beta 90.00
_cell_angle_gamma 90.00
_space_group_name_H-M_alt 'P 4/m m m'
_space_group_IT_number 123
_space_group_name_Hall '-P 4 2'
loop_
_atom_site_label
_atom_site_fract_x
_atom_site_fract_y
_atom_site_fract_z
H1 0.0000 0.0000 0.0000
Ir1 0.0000 0.0000 0.5000
Pd1 0.0000 0.5000 0.0000
Rh1 0.5000 0.5000 0.5000
# excess energy over the best structure of this formula in the dataset	16	meV/atom
# Fermi-level density of states	1.072	states/eV per atom
# total moment	0.0	μB/f.u.

***

# 8
# HIrPd2Rh (PBE, optimized geometry)
data_HIrPd2Rh
_cell_length_a 3.9666
_cell_length_b 3.9666
_cell_length_c 3.9243
_cell_angle_alpha 90.00
_cell_angle_beta 90.00
_cell_angle_gamma 90.00
_space_group_name_H-M_alt 'P 4/m m m'
_space_group_IT_number 123
_space_group_name_Hall '-P 4 2'
loop_
_atom_site_label
_atom_site_fract_x
_atom_site_fract_y
_atom_site_fract_z
H1 0.0000 0.0000 0.0000
Ir1 0.5000 0.5000 0.5000
Pd1 0.0000 0.5000 0.0000
Rh1 0.0000 0.0000 0.5000
# excess energy over the best structure of this formula in the dataset	0	meV/atom
# Fermi-level density of states	1.056	states/eV per atom
# total moment	0.0	μB/f.u.

***

# 9
# HIrPdRh2 (PBE, optimized geometry)
data_HIrPdRh2
_cell_length_a 3.9313
_cell_length_b 3.9313
_cell_length_c 3.9323
_cell_angle_alpha 90.00
_cell_angle_beta 90.00
_cell_angle_gamma 90.00
_space_group_name_H-M_alt 'P 4/m m m'
_space_group_IT_number 123
_space_group_name_Hall '-P 4 2'
loop_
_atom_site_label
_atom_site_fract_x
_atom_site_fract_y
_atom_site_fract_z
H1 0.0000 0.0000 0.0000
Ir1 0.0000 0.0000 0.5000
Pd1 0.5000 0.5000 0.5000
Rh1 0.0000 0.5000 0.0000
# excess energy over the best structure of this formula in the dataset	0	meV/atom
# Fermi-level density of states	1.574	states/eV per atom
# total moment	0.0	μB/f.u.

***

# 10
# HIrPd2Ru (PBE, optimized geometry)
data_HIrPd2Ru
_cell_length_a 3.9594
_cell_length_b 3.9594
_cell_length_c 3.9116
_cell_angle_alpha 90.00
_cell_angle_beta 90.00
_cell_angle_gamma 90.00
_space_group_name_H-M_alt 'P 4/m m m'
_space_group_IT_number 123
_space_group_name_Hall '-P 4 2'
loop_
_atom_site_label
_atom_site_fract_x
_atom_site_fract_y
_atom_site_fract_z
H1 0.0000 0.0000 0.0000
Ir1 0.5000 0.5000 0.5000
Pd1 0.0000 0.5000 0.0000
Ru1 0.0000 0.0000 0.5000
# excess energy over the best structure of this formula in the dataset	0	meV/atom
# Fermi-level density of states	0.758	states/eV per atom
# total moment	0.0	μB/f.u.

***

# 11
# HIrPd2Ru (PBE, optimized geometry)
data_HIrPd2Ru
_cell_length_a 4.9279
_cell_length_b 4.9279
_cell_length_c 4.6188
_cell_angle_alpha 90.00
_cell_angle_beta 90.00
_cell_angle_gamma 90.00
_space_group_name_H-M_alt 'P 4/m m m'
_space_group_IT_number 123
_space_group_name_Hall '-P 4 2'
loop_
_atom_site_label
_atom_site_fract_x
_atom_site_fract_y
_atom_site_fract_z
H1 0.0000 0.0000 0.0000
Ir1 0.5000 0.5000 0.5000
Pd1 0.0000 0.5000 0.5000
Ru1 0.5000 0.5000 0.0000
# excess energy over the best structure of this formula in the dataset	1566	meV/atom
# Fermi-level density of states	1.191	states/eV per atom
# total moment	1.7	μB/f.u.

***

# 12
# HIrPdRu2 (PBE, optimized geometry)
data_HIrPdRu2
_cell_length_a 4.6811
_cell_length_b 4.6811
_cell_length_c 4.9713
_cell_angle_alpha 90.00
_cell_angle_beta 90.00
_cell_angle_gamma 90.00
_space_group_name_H-M_alt 'P 4/m m m'
_space_group_IT_number 123
_space_group_name_Hall '-P 4 2'
loop_
_atom_site_label
_atom_site_fract_x
_atom_site_fract_y
_atom_site_fract_z
H1 0.0000 0.0000 0.0000
Ir1 0.5000 0.5000 0.5000
Pd1 0.5000 0.5000 0.0000
Ru1 0.0000 0.5000 0.5000
# raw total energy	-25.7	eV/cell
# Fermi-level density of states	1.258	states/eV per atom
# total moment	2.7	μB/f.u.